[1]
{
  "formula": "Na3Fe2As3O12",
  "functional": "SCAN",
  "state": "single point on PBEsol structure",
  "lattice_angstrom": [[-6.137, 6.137, 6.137], [6.137, -6.137, 6.137], [6.137, 6.137, -6.137]],
  "species": ["Na", "Na", "Na", "Na", "Na", "Na", "Na", "Na", "Na", "Na", "Na", "Na", "Fe", "Fe", "Fe", "Fe", "Fe", "Fe", "Fe", "Fe", "As", "As", "As", "As", "As", "As", "As", "As", "As", "As", "As", "As", "O", "O", "O", "O", "O", "O", "O", "O", "O", "O", "O", "O", "O", "O", "O", "O", "O", "O", "O", "O", "O", "O", "O", "O", "O", "O", "O", "O", "O", "O", "O", "O", "O", "O", "O", "O", "O", "O", "O", "O", "O", "O", "O", "O", "O", "O", "O", "O"],
  "fractional_positions": [[0.125, 0.250, 0.375], [0.125, 0.375, 0.750], [0.250, 0.375, 0.125], [0.250, 0.875, 0.625], [0.375, 0.125, 0.250], [0.375, 0.750, 0.125], [0.625, 0.250, 0.875], [0.625, 0.875, 0.750], [0.750, 0.125, 0.375], [0.750, 0.625, 0.875], [0.875, 0.625, 0.250], [0.875, 0.750, 0.625], [0.000, 0.000, 0.000], [0.000, 0.000, 0.500], [0.000, 0.500, 0.000], [0.000, 0.500, 0.500], [0.500, 0.000, 0.000], [0.500, 0.000, 0.500], [0.500, 0.500, 0.000], [0.500, 0.500, 0.500], [0.125, 0.750, 0.875], [0.125, 0.875, 0.250], [0.250, 0.125, 0.875], [0.250, 0.625, 0.375], [0.375, 0.250, 0.625], [0.375, 0.625, 0.750], [0.625, 0.375, 0.250], [0.625, 0.750, 0.375], [0.750, 0.375, 0.625], [0.750, 0.875, 0.125], [0.875, 0.125, 0.750], [0.875, 0.250, 0.125], [0.011, 0.201, 0.114], [0.011, 0.310, 0.897], [0.087, 0.701, 0.690], [0.087, 0.886, 0.397], [0.103, 0.614, 0.413], [0.103, 0.989, 0.690], [0.114, 0.011, 0.201], [0.114, 0.603, 0.913], [0.190, 0.201, 0.587], [0.190, 0.489, 0.603], [0.201, 0.114, 0.011], [0.201, 0.587, 0.190], [0.299, 0.310, 0.913], [0.299, 0.489, 0.386], [0.310, 0.897, 0.011], [0.310, 0.913, 0.299], [0.386, 0.299, 0.489], [0.386, 0.587, 0.897], [0.397, 0.087, 0.886], [0.397, 0.810, 0.511], [0.413, 0.103, 0.614], [0.413, 0.810, 0.799], [0.489, 0.386, 0.299], [0.489, 0.603, 0.190], [0.511, 0.397, 0.810], [0.511, 0.614, 0.701], [0.587, 0.190, 0.201], [0.587, 0.897, 0.386], [0.603, 0.190, 0.489], [0.603, 0.913, 0.114], [0.614, 0.413, 0.103], [0.614, 0.701, 0.511], [0.690, 0.087, 0.701], [0.690, 0.103, 0.989], [0.701, 0.511, 0.614], [0.701, 0.690, 0.087], [0.799, 0.413, 0.810], [0.799, 0.886, 0.989], [0.810, 0.511, 0.397], [0.810, 0.799, 0.413], [0.886, 0.397, 0.087], [0.886, 0.989, 0.799], [0.897, 0.011, 0.310], [0.897, 0.386, 0.587], [0.913, 0.114, 0.603], [0.913, 0.299, 0.310], [0.989, 0.690, 0.103], [0.989, 0.799, 0.886]],
  "raw_formation_energy_ev_per_atom": -1.706,
  "volume_a3_per_atom": 11.56,
  "crystal_system": "cubic",
  "e_tot_ev_per_cell": -873.45
}



[2]
{
  "formula": "CoRh2",
  "functional": "SCAN",
  "state": "single point on PBEsol structure",
  "lattice_angstrom": [[2.633, 0.000, 0.000], [-1.316, 2.280, 0.000], [0.000, 0.000, 12.626]],
  "species": ["Co", "Co", "Rh", "Rh", "Rh", "Rh"],
  "fractional_positions": [[0.333, 0.667, 0.075], [0.667, 0.333, 0.925], [0.000, 0.000, 0.238], [0.000, 0.000, 0.762], [0.333, 0.667, 0.587], [0.667, 0.333, 0.413]],
  "delta_e_f_mev_per_atom": 56.8,
  "volume_a3_per_atom": 12.63,
  "crystal_system": "trigonal",
  "e_tot_ev_per_cell": -169.35
}



[3]
{
  "formula": "ScGaAu3",
  "functional": "SCAN",
  "state": "single point on PBEsol structure",
  "lattice_angstrom": [[5.059, 0.000, 0.000], [0.000, 5.059, 0.000], [0.000, 0.000, 5.059]],
  "species": ["Sc", "Ga", "Au", "Au", "Au"],
  "fractional_positions": [[0.000, 0.000, 0.000], [0.500, 0.500, 0.500], [0.000, 0.000, 0.500], [0.000, 0.500, 0.000], [0.500, 0.000, 0.000]],
  "delta_e_f_mev_per_atom": 326.2,
  "volume_a3_per_atom": 25.90,
  "e_above_lowest_polymorph_mev_per_atom": 405.8,
  "crystal_system": "cubic",
  "e_tot_ev_per_cell": -236.42
}



[4]
{
  "formula": "InHg2Pb2",
  "functional": "SCAN",
  "state": "single point on PBEsol structure",
  "lattice_angstrom": [[4.030, 0.000, 0.000], [0.000, 4.030, 0.000], [0.000, 0.000, 17.148]],
  "species": ["In", "In", "Hg", "Hg", "Hg", "Hg", "Pb", "Pb", "Pb", "Pb"],
  "fractional_positions": [[0.000, 0.000, 0.000], [0.500, 0.500, 0.500], [0.000, 0.500, 0.250], [0.000, 0.500, 0.750], [0.500, 0.000, 0.250], [0.500, 0.000, 0.750], [0.000, 0.000, 0.400], [0.000, 0.000, 0.600], [0.500, 0.500, 0.100], [0.500, 0.500, 0.900]],
  "delta_e_f_mev_per_atom": 92.6,
  "volume_a3_per_atom": 27.85,
  "e_above_lowest_polymorph_mev_per_atom": 0.0,
  "crystal_system": "tetragonal",
  "e_tot_ev_per_cell": -641.63
}